w | Here is a geometry-optimized Rb2CuN2 structure from the Alexandria database. Energies are from PBE-GGA.

Output
As for the volume: 19.7 Å³ per atom.

Structure (CIF):
```
data_Rb2CuN2
_cell_length_a 3.099
_cell_length_b 3.099
_cell_length_c 20.498
_cell_angle_alpha 90.00
_cell_angle_beta 90.00
_cell_angle_gamma 90.00
_space_group_name_H-M_alt 'I 4/m m m'
_space_group_IT_number 139
_space_group_name_Hall '-I 4 2'
loop_
_atom_site_label
_atom_site_type_symbol
_atom_site_fract_x
_atom_site_fract_y
_atom_site_fract_z
Rb1 Rb 0.000 0.000 0.136
Cu1 Cu 0.000 0.000 0.500
N1 N 0.000 0.500 0.250
```

x | Here is a geometry-optimized Rb2CuN2 structure from the Alexandria database. Energies are from PBE-GGA.

Output
As for the volume: 25.4 Å³ per atom.

Structure (CIF):
```
data_Rb2CuN2
_cell_length_a 8.694
_cell_length_b 8.694
_cell_length_c 3.367
_cell_angle_alpha 90.00
_cell_angle_beta 90.00
_cell_angle_gamma 90.00
_space_group_name_H-M_alt 'P 4/m b m'
_space_group_IT_number 127
_space_group_name_Hall '-P 4 2ab'
loop_
_atom_site_label
_atom_site_type_symbol
_atom_site_fract_x
_atom_site_fract_y
_atom_site_fract_z
Rb1 Rb 0.157 0.343 0.000
Cu1 Cu 0.000 0.000 0.000
N1 N 0.132 0.632 0.500
```

Relative energies, unit eV/atom: w 0.000; x 0.049

w | Here is a geometry-optimized RbCuSe2N structure from the Alexandria database. Energies are from PBE-GGA.

Output
As for the volume: 23.3 Å³ per atom.

Structure (CIF):
```
data_RbCuSe2N
_cell_length_a 5.821
_cell_length_b 5.821
_cell_length_c 3.435
_cell_angle_alpha 90.00
_cell_angle_beta 90.00
_cell_angle_gamma 90.00
_space_group_name_H-M_alt 'P 4/m m m'
_space_group_IT_number 123
_space_group_name_Hall '-P 4 2'
loop_
_atom_site_label
_atom_site_type_symbol
_atom_site_fract_x
_atom_site_fract_y
_atom_site_fract_z
Rb1 Rb 0.000 0.000 0.000
Cu1 Cu 0.500 0.500 0.500
Se1 Se 0.000 0.500 0.500
N1 N 0.500 0.500 0.000
```

x | Here is a geometry-optimized RbCuSe2N structure from the Alexandria database. Energies are from PBE-GGA.

Output
As for the volume: 40.0 Å³ per atom.

Structure (CIF):
```
data_RbCuSe2N
_cell_length_a 6.183
_cell_length_b 6.183
_cell_length_c 5.234
_cell_angle_alpha 90.00
_cell_angle_beta 90.00
_cell_angle_gamma 90.00
_space_group_name_H-M_alt 'P 4/m m m'
_space_group_IT_number 123
_space_group_name_Hall '-P 4 2'
loop_
_atom_site_label
_atom_site_type_symbol
_atom_site_fract_x
_atom_site_fract_y
_atom_site_fract_z
Rb1 Rb 0.000 0.000 0.000
Cu1 Cu 0.500 0.500 0.500
Se1 Se 0.000 0.500 0.000
N1 N 0.000 0.000 0.500
```

Relative energies, unit eV/atom: w 0.000; x 1.380

w | Here is a geometry-optimized CuReN2 structure from the Alexandria database. Energies are from PBE-GGA.

Output
As for the volume: 12.1 Å³ per atom.

Structure (CIF):
```
data_CuReN2
_cell_length_a 4.582
_cell_length_b 4.582
_cell_length_c 9.231
_cell_angle_alpha 90.00
_cell_angle_beta 90.00
_cell_angle_gamma 90.00
_space_group_name_H-M_alt 'I -4 2 d'
_space_group_IT_number 122
_space_group_name_Hall 'I -4 2bw'
loop_
_atom_site_label
_atom_site_type_symbol
_atom_site_fract_x
_atom_site_fract_y
_atom_site_fract_z
Cu1 Cu 0.000 0.000 0.000
Re1 Re 0.000 0.000 0.500
N1 N 0.224 0.250 0.625
```

x | Here is a geometry-optimized CuReN2 structure from the Alexandria database. Energies are from PBE-GGA.

Output
As for the volume: 11.1 Å³ per atom.

Structure (CIF):
```
data_CuReN2
_cell_length_a 2.8651
_cell_length_b 2.8651
_cell_length_c 18.7519
_cell_angle_alpha 90.00
_cell_angle_beta 90.00
_cell_angle_gamma 120.00
_space_group_name_H-M_alt 'R -3 m'
_space_group_IT_number 166
_space_group_name_Hall '-R 3 2"'
loop_
_atom_site_label
_atom_site_type_symbol
_atom_site_fract_x
_atom_site_fract_y
_atom_site_fract_z
Cu1 Cu 0.0000 0.0000 0.0000
Re1 Re 0.0000 0.0000 0.5000
N1 N 0.0000 0.0000 0.0994
```

y | Here is a geometry-optimized CuReN2 structure from the Alexandria database. Energies are from PBE-GGA.

Output
As for the volume: 11.1 Å³ per atom.

Structure (CIF):
```
data_CuReN2
_cell_length_a 2.9058
_cell_length_b 2.9058
_cell_length_c 18.2287
_cell_angle_alpha 90.00
_cell_angle_beta 90.00
_cell_angle_gamma 120.00
_space_group_name_H-M_alt 'R -3 m'
_space_group_IT_number 166
_space_group_name_Hall '-R 3 2"'
loop_
_atom_site_label
_atom_site_type_symbol
_atom_site_fract_x
_atom_site_fract_y
_atom_site_fract_z
Cu1 Cu 0.0000 0.0000 0.0000
Re1 Re 0.0000 0.0000 0.5000
N1 N 0.0000 0.0000 0.3968
```

z | Here is a geometry-optimized CuReN2 structure from the Alexandria database. Energies are from PBE-GGA.

Output
As for the volume: 9.2 Å³ per atom.

Structure (CIF):
```
data_CuReN2
_cell_length_a 5.284
_cell_length_b 5.284
_cell_length_c 5.284
_cell_angle_alpha 90.00
_cell_angle_beta 90.00
_cell_angle_gamma 90.00
_space_group_name_H-M_alt 'F m -3 m'
_space_group_IT_number 225
_space_group_name_Hall '-F 4 2 3'
loop_
_atom_site_label
_atom_site_type_symbol
_atom_site_fract_x
_atom_site_fract_y
_atom_site_fract_z
Cu1 Cu 0.000 0.000 0.000
Re1 Re 0.000 0.000 0.500
N1 N 0.250 0.250 0.250
```

Relative energies, unit eV/atom: w 0.045; x 0.000; y 0.611; z 0.892

w | Here is a geometry-optimized CuRhSe2N structure from the Alexandria database. Energies are from PBE-GGA.

Output
As for the volume: 16.5 Å³ per atom.

Structure (CIF):
```
data_CuRhSe2N
_cell_length_a 4.882
_cell_length_b 4.882
_cell_length_c 3.466
_cell_angle_alpha 90.00
_cell_angle_beta 90.00
_cell_angle_gamma 90.00
_space_group_name_H-M_alt 'P 4/m m m'
_space_group_IT_number 123
_space_group_name_Hall '-P 4 2'
loop_
_atom_site_label
_atom_site_type_symbol
_atom_site_fract_x
_atom_site_fract_y
_atom_site_fract_z
Cu1 Cu 0.000 0.000 0.000
Rh1 Rh 0.500 0.500 0.500
Se1 Se 0.000 0.500 0.000
N1 N 0.000 0.000 0.500
```

x | Here is a geometry-optimized CuRhSe2N structure from the Alexandria database. Energies are from PBE-GGA.

Output
As for the volume: 18.8 Å³ per atom.

Structure (CIF):
```
data_CuRhSe2N
_cell_length_a 5.119
_cell_length_b 5.119
_cell_length_c 3.596
_cell_angle_alpha 90.00
_cell_angle_beta 90.00
_cell_angle_gamma 90.00
_space_group_name_H-M_alt 'P 4/m m m'
_space_group_IT_number 123
_space_group_name_Hall '-P 4 2'
loop_
_atom_site_label
_atom_site_type_symbol
_atom_site_fract_x
_atom_site_fract_y
_atom_site_fract_z
Cu1 Cu 0.000 0.000 0.000
Rh1 Rh 0.500 0.500 0.500
Se1 Se 0.000 0.500 0.500
N1 N 0.500 0.500 0.000
```

Relative energies, unit eV/atom: w 0.345; x 0.000

w | Here is a geometry-optimized Cu3RuN structure from the Alexandria database. Energies are from PBE-GGA.

Output
As for the volume: 19.1 Å³ per atom.

Structure (CIF):
```
data_Cu3RuN
_cell_length_a 4.574
_cell_length_b 4.574
_cell_length_c 4.574
_cell_angle_alpha 90.00
_cell_angle_beta 90.00
_cell_angle_gamma 90.00
_space_group_name_H-M_alt 'P m -3 m'
_space_group_IT_number 221
_space_group_name_Hall '-P 4 2 3'
loop_
_atom_site_label
_atom_site_type_symbol
_atom_site_fract_x
_atom_site_fract_y
_atom_site_fract_z
Cu1 Cu 0.000 0.000 0.500
Ru1 Ru 0.000 0.000 0.000
N1 N 0.500 0.500 0.500
```

x | Here is a geometry-optimized Cu3RuN structure from the Alexandria database. Energies are from PBE-GGA.

Output
As for the volume: 11.6 Å³ per atom.

Structure (CIF):
```
data_Cu3RuN
_cell_length_a 3.872
_cell_length_b 3.872
_cell_length_c 3.872
_cell_angle_alpha 90.00
_cell_angle_beta 90.00
_cell_angle_gamma 90.00
_space_group_name_H-M_alt 'P m -3 m'
_space_group_IT_number 221
_space_group_name_Hall '-P 4 2 3'
loop_
_atom_site_label
_atom_site_type_symbol
_atom_site_fract_x
_atom_site_fract_y
_atom_site_fract_z
Cu1 Cu 0.000 0.000 0.500
Ru1 Ru 0.500 0.500 0.500
N1 N 0.000 0.000 0.000
```

Relative energies, unit eV/atom: w 1.886; x 0.000

w | Here is a geometry-optimized CuRu3N structure from the Alexandria database. Energies are from PBE-GGA.

Output
As for the volume: 12.8 Å³ per atom.

Structure (CIF):
```
data_CuRu3N
_cell_length_a 3.996
_cell_length_b 3.996
_cell_length_c 3.996
_cell_angle_alpha 90.00
_cell_angle_beta 90.00
_cell_angle_gamma 90.00
_space_group_name_H-M_alt 'P m -3 m'
_space_group_IT_number 221
_space_group_name_Hall '-P 4 2 3'
loop_
_atom_site_label
_atom_site_type_symbol
_atom_site_fract_x
_atom_site_fract_y
_atom_site_fract_z
Cu1 Cu 0.000 0.000 0.000
Ru1 Ru 0.000 0.500 0.500
N1 N 0.500 0.500 0.500
```

x | Here is a geometry-optimized CuRu3N structure from the Alexandria database. Energies are from PBE-GGA.

Output
As for the volume: 18.3 Å³ per atom.

Structure (CIF):
```
data_CuRu3N
_cell_length_a 4.502
_cell_length_b 4.502
_cell_length_c 4.502
_cell_angle_alpha 90.00
_cell_angle_beta 90.00
_cell_angle_gamma 90.00
_space_group_name_H-M_alt 'P m -3 m'
_space_group_IT_number 221
_space_group_name_Hall '-P 4 2 3'
loop_
_atom_site_label
_atom_site_type_symbol
_atom_site_fract_x
_atom_site_fract_y
_atom_site_fract_z
Cu1 Cu 0.000 0.000 0.000
Ru1 Ru 0.000 0.000 0.500
N1 N 0.500 0.500 0.500
```

Relative energies, unit eV/atom: w 0.000; x 2.503

w | Here is a geometry-optimized CuRuSN2 structure from the Alexandria database. Energies are from PBE-GGA.

Output
As for the volume: 14.6 Å³ per atom.

Structure (CIF):
```
data_CuRuSN2
_cell_length_a 3.712
_cell_length_b 3.712
_cell_length_c 5.287
_cell_angle_alpha 90.00
_cell_angle_beta 90.00
_cell_angle_gamma 90.00
_space_group_name_H-M_alt 'P 4/m m m'
_space_group_IT_number 123
_space_group_name_Hall '-P 4 2'
loop_
_atom_site_label
_atom_site_type_symbol
_atom_site_fract_x
_atom_site_fract_y
_atom_site_fract_z
Cu1 Cu 0.000 0.000 0.000
Ru1 Ru 0.500 0.500 0.500
S1 S 0.500 0.500 0.000
N1 N 0.000 0.500 0.500
```

x | Here is a geometry-optimized CuRuSN2 structure from the Alexandria database. Energies are from PBE-GGA.

Output
As for the volume: 12.8 Å³ per atom.

Structure (CIF):
```
data_CuRuSN2
_cell_length_a 3.661
_cell_length_b 3.661
_cell_length_c 4.778
_cell_angle_alpha 90.00
_cell_angle_beta 90.00
_cell_angle_gamma 90.00
_space_group_name_H-M_alt 'P 4/m m m'
_space_group_IT_number 123
_space_group_name_Hall '-P 4 2'
loop_
_atom_site_label
_atom_site_type_symbol
_atom_site_fract_x
_atom_site_fract_y
_atom_site_fract_z
Cu1 Cu 0.000 0.000 0.000
Ru1 Ru 0.500 0.500 0.500
S1 S 0.000 0.000 0.500
N1 N 0.000 0.500 0.000
```

Relative energies, unit eV/atom: w 0.000; x 0.926